# AcLa3Pr2P6 (PBE-GGA, relaxed)
data_AcLa3Pr2P6
_symmetry_space_group_name_H-M 'C 1 2/m 1'
_symmetry_Int_Tables_number 12
_symmetry_space_group_name_Hall '-C 2y'
_cell_length_a 7.421
_cell_length_b 12.853
_cell_length_c 7.415
_cell_angle_alpha 90.00
_cell_angle_beta 109.48
_cell_angle_gamma 90.00
loop_
_atom_site_label
_atom_site_fract_x
_atom_site_fract_y
_atom_site_fract_z
Ac1 0.000 0.000 0.000
La1 0.000 0.166 0.500
La2 0.000 0.500 0.500
Pr1 0.000 0.333 0.000
P1 0.244 0.500 0.252
P2 0.246 0.330 0.748
# Fermi-level density of states = 0.8 states/eV/f.u.
# Formation enthalpy at 0 K = -1529.4 meV per atom

***

# Zn2AgP (PBE-GGA, relaxed)
data_Zn2AgP
_symmetry_space_group_name_H-M 'C m m 2'
_symmetry_Int_Tables_number 35
_symmetry_space_group_name_Hall 'C 2 -2'
_cell_length_a 3.636
_cell_length_b 4.310
_cell_length_c 8.198
_cell_angle_alpha 90.00
_cell_angle_beta 90.00
_cell_angle_gamma 90.00
loop_
_atom_site_label
_atom_site_fract_x
_atom_site_fract_y
_atom_site_fract_z
Zn1 0.000 0.000 0.000
Zn2 0.000 0.500 0.239
Ag1 0.000 0.000 0.491
P1 0.000 0.500 0.769
# Fermi-level density of states = 1.1 states/eV/f.u.
# Formation enthalpy at 0 K = 219.7 meV per atom

***

# KLiBe2 (PBE-GGA, relaxed)
data_KLiBe2
_symmetry_space_group_name_H-M 'P 1'
_symmetry_Int_Tables_number 1
_symmetry_space_group_name_Hall 'P 1'
_cell_length_a 3.728
_cell_length_b 4.271
_cell_length_c 11.988
_cell_angle_alpha 87.86
_cell_angle_beta 89.89
_cell_angle_gamma 90.00
loop_
_atom_site_label
_atom_site_fract_x
_atom_site_fract_y
_atom_site_fract_z
K1 0.000 0.000 0.000
K2 0.497 0.530 0.685
Li1 0.500 0.488 0.194
Li2 0.998 0.043 0.499
Be1 0.499 0.368 0.379
Be2 0.499 0.877 0.354
Be3 0.999 0.132 0.314
Be4 0.999 0.623 0.345
# Fermi-level density of states = 1.6 states/eV/f.u.
# Formation enthalpy at 0 K = 206.9 meV per atom
# Relative energy among the computed polymorphs = 3.0 kJ/mol of atoms

***

# MgScTa2 (PBE-GGA, relaxed)
data_MgScTa2
_symmetry_space_group_name_H-M 'P 4 m m'
_symmetry_Int_Tables_number 99
_symmetry_space_group_name_Hall 'P 4 -2'
_cell_length_a 3.472
_cell_length_b 3.472
_cell_length_c 6.870
_cell_angle_alpha 90.00
_cell_angle_beta 90.00
_cell_angle_gamma 90.00
loop_
_atom_site_label
_atom_site_fract_x
_atom_site_fract_y
_atom_site_fract_z
Mg1 0.000 0.000 0.000
Sc1 0.500 0.500 0.293
Ta1 0.000 0.000 0.554
Ta2 0.500 0.500 0.737
# Fermi-level density of states = 5.1 states/eV/f.u.
# Formation enthalpy at 0 K = 147.0 meV per atom

***

# LaY4Ho (PBE-GGA, relaxed)
data_LaY4Ho
_symmetry_space_group_name_H-M 'C 1 2/m 1'
_symmetry_Int_Tables_number 12
_symmetry_space_group_name_Hall '-C 2y'
_cell_length_a 5.710
_cell_length_b 9.891
_cell_length_c 6.950
_cell_angle_alpha 90.00
_cell_angle_beta 90.02
_cell_angle_gamma 90.00
loop_
_atom_site_label
_atom_site_fract_x
_atom_site_fract_y
_atom_site_fract_z
La1 0.000 0.000 0.000
Y1 0.001 0.333 0.255
Ho1 0.000 0.000 0.500
# Fermi-level density of states = 9.6 states/eV/f.u.
# Formation enthalpy at 0 K = 65.1 meV per atom
# Relative energy among the computed polymorphs = 2.1 kJ/mol of atoms

***

# TaCdBr4 (PBE-GGA, relaxed)
data_TaCdBr4
_symmetry_space_group_name_H-M 'F -4 3 m'
_symmetry_Int_Tables_number 216
_symmetry_space_group_name_Hall 'F -4 2 3'
_cell_length_a 8.711
_cell_length_b 8.711
_cell_length_c 8.711
_cell_angle_alpha 90.00
_cell_angle_beta 90.00
_cell_angle_gamma 90.00
loop_
_atom_site_label
_atom_site_fract_x
_atom_site_fract_y
_atom_site_fract_z
Ta1 0.000 0.000 0.000
Cd1 0.250 0.250 0.250
Br1 0.126 0.126 0.626
# Formation energy without anion corrections = 1.132 eV/atom
# Fermi-level density of states = 8.6 states/eV/f.u.